Density functional theory data (PBE) for crystalline La2TcCl at its relaxed geometry.

a = 3.6156 Å, b = 3.6156 Å, c = 9.3195 Å
α = 69.04°, β = 69.04°, γ = 73.99°
Last column: nearest neighbours and their distance in Å.
Positions (direct):
Cl1 0.7500 0.7500 0.7500  6 La 3.13-3.33
Tc1 0.2500 0.2500 0.2500  4 La 2.82
La1 0.8980 0.8980 0.0349  2 Tc 2.82, 1 Cl 3.13
La2 0.6020 0.6020 0.4651  2 Tc 2.82, 1 Cl 3.13

Calculated values
excess energy over the best structure of this formula in the dataset	0.00	eV per formula unit
raw formation energy	-0.775	eV per atom
total moment	0.000	μB per formula unit